1.
Below is crystalline ZnFeSe4 at its relaxed geometry, with properties calculated at the GGA-PBE level.

```
6
Lattice="3.5016 -4.3005 1.1837 -1.8483 -5.3477 -0.3779 1.8737 -3.3598 -4.1663" Properties=species:S:1:pos:R:3 pbc="T T T"
Zn 2.6452 -9.7560 -2.5204
Fe 0.0000 0.0000 0.0000
Se 3.0701 -7.0269 -0.6709
Se 2.2582 -6.5578 -3.3390
Se 0.4019 -7.5491 -1.4497
Se 1.3237 -4.8822 -1.2613
```

Properties
The formation energy from raw total energies is 0.8117 eV/atom.

2.
Below is crystalline Ac2Ge4BiAu3 at its relaxed geometry, with properties calculated at the GGA-PBE level.

```
10
Lattice="4.6899 0.0000 0.0000 0.0000 4.6899 0.0000 0.0000 0.0000 11.0641" Properties=species:S:1:pos:R:3 pbc="T T T"
Ac 2.3449 0.0000 2.5550
Ac 0.0000 2.3449 8.5090
Ge 2.3449 2.3449 0.0000
Ge 0.0000 0.0000 0.0000
Ge 2.3449 0.0000 7.2557
Ge 0.0000 2.3449 3.8083
Bi 2.3449 2.3449 5.5320
Au 0.0000 0.0000 5.5320
Au 2.3449 0.0000 9.8057
Au 0.0000 2.3449 1.2584
```

Properties
The value obtained for the formation energy is -0.45 eV per atom.

3.
Below is crystalline Sm3InHg at its relaxed geometry, with properties calculated at the GGA-PBE level.

```
10
Lattice="-2.6909 2.4605 3.9234 -4.5992 -1.9289 -1.9448 -0.3524 -7.0774 7.8530" Properties=species:S:1:pos:R:3 pbc="T T T"
Sm -3.2462 0.5304 3.4673
Sm -2.4926 -5.7746 7.9384
Sm -2.8699 -2.6182 5.7001
Sm -4.2037 -1.6364 0.5135
Sm -6.1410 -5.4809 8.9079
Sm -3.8264 -4.7928 2.7518
In -4.9803 -5.1657 5.8503
In -1.7160 -2.2453 2.6016
Hg -5.3656 -1.9420 3.5643
Hg -4.0216 -3.0084 8.8110
```

Properties
The value obtained for the formation energy is -0.35 eV per atom. As for the energy above the most stable polymorph in this dataset: 0.0 meV per atom.

4.
Below is crystalline K2SbPt at its relaxed geometry, with properties calculated at the GGA-PBE level.

```
4
Lattice="6.3494 0.0062 0.0166 2.0620 6.0052 -0.0166 -3.6793 -3.7422 3.5739" Properties=species:S:1:pos:R:3 pbc="T T T"
Sb 1.8635 3.0412 1.7787
K 0.2459 0.1757 0.0000
K 3.2090 -0.5287 1.7952
Pt 3.6194 2.5867 0.0000
```

Properties
The formation energy from raw total energies is -0.3602 eV/atom.

5.
Below is crystalline Pm2ErMgTe5 at its relaxed geometry, with properties calculated at the GGA-PBE level.

```
18
Lattice="-0.4944 3.0036 -3.0676 6.3831 -6.1397 -3.9962 -10.1994 -7.1297 -5.3372" Properties=species:S:1:pos:R:3 pbc="T T T"
Pm -3.9404 -7.6167 -9.8667
Pm -5.5774 -5.8977 -4.8758
Pm -1.4435 -3.3994 -3.0958
Pm 2.6632 -3.3920 -6.7944
Er -1.8468 -4.8915 -7.5358
Er 2.3845 -1.9852 -2.3280
Mg -9.3262 -5.8224 -7.2419
Mg 0.8127 -7.3815 -7.3584
Te -5.7244 -10.4941 -9.3525
Te -6.5864 -6.3112 -8.1621
Te -1.8383 -10.1379 -9.6301
Te -3.3713 -7.3957 -6.6980
Te -0.6082 -6.7776 -9.5822
Te -3.6610 -3.3192 -5.7040
Te 0.2478 -5.3723 -5.3001
Te -3.0196 -0.5105 -3.0573
Te 0.6902 -1.7311 -4.8503
Te -0.1598 -1.0119 -0.9650
```

Properties
The formation energy from raw total energies is -1.2184 eV/atom.

6.
Below is crystalline MgCoAs2 at its relaxed geometry, with properties calculated at the GGA-PBE level.

```
4
Lattice="8.2881 -0.1310 -0.0772 7.7426 2.9600 -0.0772 7.7426 1.3664 2.6269" Properties=species:S:1:pos:R:3 pbc="T T T"
As 23.7379 4.1892 2.4688
As 5.5448 0.9785 0.5767
Co 12.1136 2.1378 1.2599
Mg 18.0371 3.1831 1.8759
```

Properties
The value obtained for the formation energy is 0.07 eV per atom.

7.
Below is crystalline BaNaCa2Se at its relaxed geometry, with properties calculated at the GGA-PBE level.

```
5
Lattice="-4.3745 2.6012 -2.5748 -2.4332 -5.0643 -0.9823 -3.1632 0.3991 5.7774" Properties=species:S:1:pos:R:3 pbc="T T T"
Na -4.9854 -1.0320 1.1101
Ca -1.2166 -2.5321 -0.4912
Ca -2.1872 1.3006 -1.2874
Ba -1.5816 0.1996 2.8887
Se 0.0000 0.0000 0.0000
```

Properties
The formation energy from raw total energies is -0.6390 eV/atom.

8.
Below is crystalline Er8CdPb5 at its relaxed geometry, with properties calculated at the GGA-PBE level.

```
14
Lattice="-7.0336 -1.0478 -3.7925 5.1696 3.7769 -4.8951 3.0031 -7.1866 2.0705" Properties=species:S:1:pos:R:3 pbc="T T T"
Er 3.0324 2.5622 -4.1359
Er -4.1232 -5.8738 -2.7412
Er -3.0013 -2.5424 -3.3412
Er 0.2461 -5.4537 -2.5053
Er 0.4556 0.1024 -4.2987
Er 2.8353 -3.5421 -4.9127
Er 0.5337 -2.0613 -1.4443
Er 4.5779 -1.0213 -3.0890
Cd 3.0787 -3.7634 -1.8428
Pb 2.3154 0.4990 -1.5866
Pb -0.8673 0.6027 -7.0713
Pb -0.1842 -2.9297 -4.6066
Pb -2.0153 -4.1172 -0.8610
Pb 1.0143 -7.0870 0.0303
```

Properties
The value obtained for the formation energy is -0.42 eV per atom.

9.
Below is crystalline Sr2MgSn3Hg4 at its relaxed geometry, with properties calculated at the GGA-PBE level.

```
10
Lattice="-0.1559 0.5648 -4.7088 2.8236 -3.7742 -0.5462 -10.1694 -7.5261 -0.5660" Properties=species:S:1:pos:R:3 pbc="T T T"
Sr -2.4592 -1.4799 -2.4869
Sr -6.3763 -7.6509 -0.7065
Mg -3.7509 -5.3678 -2.9104
Sn -5.0847 -3.7631 -0.2830
Sn -8.8291 -6.1942 -2.8414
Sn -0.0064 -2.9367 -0.3520
Hg 1.3338 -1.6047 -2.6275
Hg 0.0000 0.0000 0.0000
Hg -6.5667 -4.5198 -2.7155
Hg -2.2688 -4.6110 -0.4779
```

Properties
The value obtained for the formation energy is -0.34 eV per atom.

10.
Below is crystalline CaOs4Pt at its relaxed geometry, with properties calculated at the GGA-PBE level.

```
6
Lattice="0.0000 3.7013 3.7013 3.7013 0.0000 3.7013 3.7013 3.7013 0.0000" Properties=species:S:1:pos:R:3 pbc="T T T"
Ca 0.0000 0.0000 0.0000
Os 2.7844 4.6182 4.6182
Os 4.6182 4.6182 2.7844
Os 4.6182 2.7844 4.6182
Os 2.7844 2.7844 2.7844
Pt 5.5520 5.5520 5.5520
```

Properties
The value obtained for the formation energy is 0.48 eV per atom.

11.
Below is crystalline NiPb2Br at its relaxed geometry, with properties calculated at the GGA-PBE level.

```
4
Lattice="-1.0658 -5.0479 0.4235 0.6609 0.1719 3.7130 -5.2819 1.3519 2.8219" Properties=species:S:1:pos:R:3 pbc="T T T"
Br -1.9510 0.7020 3.4577
Ni -4.8147 -1.1371 5.9673
Pb -4.2143 1.3720 5.7488
Pb -1.6381 -2.1752 1.5869
```

Properties
The formation energy from raw total energies is 0.0328 eV/atom. As for the energy above the most stable polymorph in this dataset: 125.2 meV per atom.

12.
Below is crystalline AlRu at its relaxed geometry, with properties calculated at the GGA-PBE level.

```
4
Lattice="-2.2876 -1.0394 1.1827 -0.4657 -1.5460 -2.2595 4.1567 -5.6918 3.0376" Properties=species:S:1:pos:R:3 pbc="T T T"
Ru 1.8572 -4.1320 1.5910
Ru -0.4538 -4.1452 0.3698
Al -0.0668 -1.4975 0.1850
Al 1.4701 -6.7797 1.7758
```

Properties
The value obtained for the formation energy is -0.24 eV per atom.

Number 1: calculated volume 128.9 Å³/cell, VASP energy -3.134 eV/atom. Number 2: calculated volume 243.4 Å³/cell, VASP energy -4.485 eV/atom. Number 3: calculated volume 293.4 Å³/cell, VASP energy -3.794 eV/atom. Number 4: calculated volume 136.1 Å³/cell, VASP energy -3.450 eV/atom. Number 5: calculated volume 554.3 Å³/cell, VASP energy -4.704 eV/atom. Number 6: calculated volume 69.0 Å³/cell, VASP energy -4.433 eV/atom. Number 7: calculated volume 214.7 Å³/cell, VASP energy -2.785 eV/atom. Number 8: calculated volume 403.0 Å³/cell, VASP energy -4.416 eV/atom. Number 9: calculated volume 285.1 Å³/cell, VASP energy -2.155 eV/atom. Number 10: calculated volume 101.4 Å³/cell, VASP energy -8.348 eV/atom. Number 11: calculated volume 114.0 Å³/cell, VASP energy -3.685 eV/atom. Number 12: calculated volume 59.2 Å³/cell, VASP energy -6.746 eV/atom.